Record 1
! KTlSb2 PBE relaxed; values from VASP
! Space-group type = P4/mmm
! Uncorrected formation energy = -0.091 eV per atom
! V = 124 Å³/cell
&SYSTEM
  ibrav = 0, nat = 4, ntyp = 3
/
ATOMIC_SPECIES
Sb 121.76 Sb.upf
Tl 204.38 Tl.upf
K 39.10 K.upf
CELL_PARAMETERS angstrom
-2.6587 0.0571 -2.0192
1.8384 -1.3147 -2.4578
-2.7887 -10.2235 3.3828
ATOMIC_POSITIONS crystal
Sb 0.0000 0.0000 0.4988
Sb 0.0000 0.0000 0.0012
Tl 0.5000 0.5000 0.2500
K 0.5000 0.5000 0.7500

=====

Record 2
! K2Sn6Bi PBE relaxed; values from VASP
! DFT formation energy = -147 meV per atom
! Space-group type = P-3m1
! V = 295 Å³/cell
&SYSTEM
  ibrav = 0, nat = 9, ntyp = 3
/
ATOMIC_SPECIES
Sn 118.71 Sn.upf
Bi 208.98 Bi.upf
K 39.10 K.upf
CELL_PARAMETERS angstrom
-0.9708 -5.4140 -4.1814
6.7701 0.2168 -1.8524
-2.0139 -3.8827 5.4957
ATOMIC_POSITIONS crystal
Sn 0.3497 0.8172 0.6343
Bi 0.0000 0.0000 0.0000
Sn 0.6501 0.6345 0.8172
Sn 0.3499 0.8173 0.1828
K 0.1338 0.3334 0.6668
Sn 0.3499 0.3655 0.1828
Sn 0.6503 0.1828 0.3657
Sn 0.6501 0.1827 0.8172
K 0.8662 0.6666 0.3332

=====

Record 3
! Na2ZnAgSb2 PBE relaxed; values from VASP
! Space-group type = Ibam
! Uncorrected formation energy = -0.271 eV per atom
! V = 300 Å³/cell
&SYSTEM
  ibrav = 0, nat = 12, ntyp = 4
/
ATOMIC_SPECIES
Zn 65.41 Zn.upf
Na 22.99 Na.upf
Ag 107.87 Ag.upf
Sb 121.76 Sb.upf
CELL_PARAMETERS angstrom
6.2694 0.0000 0.0000
0.0000 6.2670 0.0000
-3.1347 -3.1335 7.6318
ATOMIC_POSITIONS crystal
Zn 0.5000 0.7500 0.0000
Na 0.5965 0.8288 0.6576
Na 0.0610 0.3288 0.6576
Ag 0.0000 0.7500 0.0000
Sb 0.1520 0.8849 0.7697
Na 0.4035 0.1712 0.3424
Na 0.9390 0.6712 0.3424
Ag 0.0000 0.2500 0.0000
Zn 0.5000 0.2500 0.0000
Sb 0.6177 0.3849 0.7697
Sb 0.3823 0.6151 0.2303
Sb 0.8480 0.1151 0.2303